i | ## Tb2DyHo8 (GGA-PBE)

Data for a relaxed structure of Tb2DyHo8.

Properties
DOS(E_F): 16.1 states/eV/cell

Lattice parameters (Å, degrees): 5.470 8.043 9.270 115.71 107.13 90.00
Fractional coordinates of all 11 atoms:
Ho (0.638, 0.430, 0.276)
Ho (0.000, 0.293, 0.000)
Ho (0.362, 0.570, 0.724)
Ho (0.638, 0.845, 0.276)
Ho (0.362, 0.155, 0.724)
Ho (0.161, 0.161, 0.323)
Ho (0.000, 0.707, 0.000)
Ho (0.839, 0.839, 0.677)
Dy (0.500, 0.000, 0.000)
Tb (0.799, 0.299, 0.598)
Tb (0.201, 0.701, 0.402)

ii | ## Tb2DyHo8 (GGA-PBE)

Data for a relaxed structure of Tb2DyHo8.

Properties
DOS(E_F): 14.2 states/eV/cell

Lattice parameters (Å, degrees): 4.978 7.887 9.326 104.72 105.48 90.00
Fractional coordinates of all 11 atoms:
Ho (0.864, 0.819, 0.728)
Ho (0.591, 0.455, 0.181)
Ho (0.318, 0.091, 0.637)
Ho (0.409, 0.545, 0.819)
Ho (0.682, 0.909, 0.363)
Ho (0.136, 0.181, 0.272)
Ho (0.045, 0.727, 0.090)
Ho (0.955, 0.273, 0.910)
Dy (0.500, 0.000, 0.000)
Tb (0.227, 0.637, 0.454)
Tb (0.773, 0.363, 0.546)

The winner here is ii, beating the second structure by 97 meV/atom.

i | ## Tb6Dy3Ho2 (GGA-PBE)

Data for a relaxed structure of Tb6Dy3Ho2.

Properties
DOS(E_F): 16.5 states/eV/cell

Lattice parameters (Å, degrees): 4.705 4.705 16.872 98.02 98.02 90.00
Fractional coordinates of all 11 atoms:
Dy (0.000, 0.000, 0.000)
Dy (0.800, 0.800, 0.600)
Dy (0.200, 0.200, 0.400)
Tb (0.303, 0.303, 0.606)
Tb (0.879, 0.379, 0.758)
Tb (0.121, 0.621, 0.242)
Tb (0.379, 0.879, 0.758)
Tb (0.697, 0.697, 0.394)
Tb (0.621, 0.121, 0.242)
Ho (0.546, 0.546, 0.092)
Ho (0.454, 0.454, 0.908)

ii | ## Tb6Dy3Ho2 (GGA-PBE)

Data for a relaxed structure of Tb6Dy3Ho2.

Properties
DOS(E_F): 14.2 states/eV/cell

Lattice parameters (Å, degrees): 3.542 3.542 31.795 86.81 86.81 60.00
Fractional coordinates of all 11 atoms:
Ho (0.455, 0.455, 0.636)
Ho (0.545, 0.545, 0.364)
Dy (0.727, 0.727, 0.818)
Dy (0.273, 0.273, 0.182)
Dy (0.000, 0.000, 0.000)
Tb (0.909, 0.909, 0.273)
Tb (0.182, 0.182, 0.454)
Tb (0.636, 0.636, 0.091)
Tb (0.364, 0.364, 0.909)
Tb (0.091, 0.091, 0.727)
Tb (0.818, 0.818, 0.546)

The winner here is ii, beating the second structure by 272 meV/atom.

i | ## Tb2Dy2Ho (GGA-PBE)

Data for a relaxed structure of Tb2Dy2Ho.

Properties
DOS(E_F): 14.6 states/eV/cell

Lattice parameters (Å, degrees): 5.644 3.580 16.101 96.38 100.09 90.00
Fractional coordinates of all 10 atoms:
Dy (0.542, 0.292, 0.084)
Dy (0.944, 0.194, 0.887)
Dy (0.458, 0.708, 0.916)
Dy (0.056, 0.806, 0.113)
Tb (0.728, 0.978, 0.456)
Tb (0.272, 0.022, 0.544)
Tb (0.370, 0.120, 0.741)
Tb (0.630, 0.880, 0.259)
Ho (0.829, 0.579, 0.657)
Ho (0.171, 0.421, 0.343)

ii | ## Tb2Dy2Ho (GGA-PBE)

Data for a relaxed structure of Tb2Dy2Ho.

Properties
DOS(E_F): 8.7 states/eV/cell

Lattice parameters (Å, degrees): 9.296 9.296 3.681 90.00 90.00 90.00
Fractional coordinates of all 10 atoms:
Dy (0.373, 0.127, 0.000)
Dy (0.627, 0.873, 0.000)
Dy (0.127, 0.627, 0.000)
Dy (0.873, 0.373, 0.000)
Ho (0.500, 0.500, 0.000)
Ho (0.000, 0.000, 0.000)
Tb (0.328, 0.828, 0.500)
Tb (0.172, 0.328, 0.500)
Tb (0.828, 0.672, 0.500)
Tb (0.672, 0.172, 0.500)

The winner here is ii, beating the second structure by 43 meV/atom.